No. 1
This record from OQMD via LeMat-Bulk describes an optimized crystal structure of LuBeBiOs. The functional is PBE-GGA.

For the relative energy among the computed polymorphs, the calculation gives 0 meV per atom.

The structure belongs to space group F-43m (No. 216); the cell edges are 6.617, 6.617 and 6.617 Å and the angles 90.00°, 90.00° and 90.00°. Symmetry generates all atoms from Lu at (0.000, 0.000, 0.000), Be at (0.250, 0.250, 0.750), Bi at (0.250, 0.250, 0.250) and Os at (0.000, 0.000, 0.500).


No. 2
This record from OQMD via LeMat-Bulk describes an optimized crystal structure of LuBeBiOs. The functional is PBE-GGA.

For the relative energy among the computed polymorphs, the calculation gives 42 meV per atom.

The structure belongs to space group F-43m (No. 216); the cell edges are 6.684, 6.684 and 6.684 Å and the angles 90.00°, 90.00° and 90.00°. Symmetry generates all atoms from Lu at (0.000, 0.000, 0.000), Be at (0.250, 0.250, 0.750), Bi at (0.000, 0.000, 0.500) and Os at (0.250, 0.250, 0.250).


No. 3
This record from OQMD via LeMat-Bulk describes an optimized crystal structure of LuBeBiOs. The functional is PBE-GGA.

For the relative energy among the computed polymorphs, the calculation gives 188 meV per atom.

The structure belongs to space group F-43m (No. 216); the cell edges are 6.709, 6.709 and 6.709 Å and the angles 90.00°, 90.00° and 90.00°. Symmetry generates all atoms from Lu at (0.000, 0.000, 0.000), Be at (0.000, 0.000, 0.500), Bi at (0.250, 0.250, 0.750) and Os at (0.250, 0.250, 0.250).


No. 4
This record from OQMD via LeMat-Bulk describes an optimized crystal structure of MgBeNiBi. The functional is PBE-GGA.

For the relative energy among the computed polymorphs, the calculation gives 0 meV per atom.

The structure belongs to space group F-43m (No. 216); the cell edges are 6.485, 6.485 and 6.485 Å and the angles 90.00°, 90.00° and 90.00°. Symmetry generates all atoms from Mg at (0.000, 0.000, 0.000), Be at (0.250, 0.250, 0.750), Ni at (0.250, 0.250, 0.250) and Bi at (0.000, 0.000, 0.500).


No. 5
This record from OQMD via LeMat-Bulk describes an optimized crystal structure of MgBeNiBi. The functional is PBE-GGA.

For the relative energy among the computed polymorphs, the calculation gives 47 meV per atom.

The structure belongs to space group F-43m (No. 216); the cell edges are 6.518, 6.518 and 6.518 Å and the angles 90.00°, 90.00° and 90.00°. Symmetry generates all atoms from Mg at (0.000, 0.000, 0.000), Be at (0.000, 0.000, 0.500), Ni at (0.250, 0.250, 0.250) and Bi at (0.250, 0.250, 0.750).


No. 6
This record from OQMD via LeMat-Bulk describes an optimized crystal structure of BeBiMo2. The functional is PBE-GGA.

The value obtained for the final energy is -0.2445 hartree per atom.

The structure belongs to space group F-43m (No. 216); the cell edges are 6.436, 6.436 and 6.436 Å and the angles 90.00°, 90.00° and 90.00°. Symmetry generates all atoms from Be at (0.000, 0.000, 0.000), Bi at (0.250, 0.250, 0.750), Mo at (0.000, 0.000, 0.500) and Mo at (0.250, 0.250, 0.250).


No. 7
This record from OQMD via LeMat-Bulk describes an optimized crystal structure of BeNiBiMo. The functional is PBE-GGA.

For the relative energy among the computed polymorphs, the calculation gives 0 meV per atom.

The structure belongs to space group F-43m (No. 216); the cell edges are 6.270, 6.270 and 6.270 Å and the angles 90.00°, 90.00° and 90.00°. Symmetry generates all atoms from Be at (0.000, 0.000, 0.000), Ni at (0.250, 0.250, 0.750), Bi at (0.000, 0.000, 0.500) and Mo at (0.250, 0.250, 0.250).


No. 8
This record from OQMD via LeMat-Bulk describes an optimized crystal structure of BeNiBiMo. The functional is PBE-GGA.

For the relative energy among the computed polymorphs, the calculation gives 104 meV per atom.

The structure belongs to space group F-43m (No. 216); the cell edges are 6.327, 6.327 and 6.327 Å and the angles 90.00°, 90.00° and 90.00°. Symmetry generates all atoms from Be at (0.000, 0.000, 0.000), Ni at (0.000, 0.000, 0.500), Bi at (0.250, 0.250, 0.250) and Mo at (0.250, 0.250, 0.750).


No. 9
This record from OQMD via LeMat-Bulk describes an optimized crystal structure of BeBiSbMo. The functional is PBE-GGA.

For the relative energy among the computed polymorphs, the calculation gives 0 meV per atom.

The structure belongs to space group F-43m (No. 216); the cell edges are 6.786, 6.786 and 6.786 Å and the angles 90.00°, 90.00° and 90.00°. Symmetry generates all atoms from Be at (0.000, 0.000, 0.000), Bi at (0.250, 0.250, 0.750), Sb at (0.250, 0.250, 0.250) and Mo at (0.000, 0.000, 0.500).


No. 10
This record from OQMD via LeMat-Bulk describes an optimized crystal structure of BeBiSbMo. The functional is PBE-GGA.

For the relative energy among the computed polymorphs, the calculation gives 184 meV per atom.

The structure belongs to space group F-43m (No. 216); the cell edges are 6.895, 6.895 and 6.895 Å and the angles 90.00°, 90.00° and 90.00°. Symmetry generates all atoms from Be at (0.000, 0.000, 0.000), Bi at (0.250, 0.250, 0.250), Sb at (0.000, 0.000, 0.500) and Mo at (0.250, 0.250, 0.750).


No. 11
This record from OQMD via LeMat-Bulk describes an optimized crystal structure of TaBeBiMo. The functional is PBE-GGA.

For the relative energy among the computed polymorphs, the calculation gives 117 meV per atom.

The structure belongs to space group F-43m (No. 216); the cell edges are 6.502, 6.502 and 6.502 Å and the angles 90.00°, 90.00° and 90.00°. Symmetry generates all atoms from Ta at (0.000, 0.000, 0.000), Be at (0.250, 0.250, 0.750), Bi at (0.250, 0.250, 0.250) and Mo at (0.000, 0.000, 0.500).


No. 12
This record from OQMD via LeMat-Bulk describes an optimized crystal structure of TaBeBiMo. The functional is PBE-GGA.

For the relative energy among the computed polymorphs, the calculation gives 0 meV per atom.

The structure belongs to space group F-43m (No. 216); the cell edges are 6.513, 6.513 and 6.513 Å and the angles 90.00°, 90.00° and 90.00°. Symmetry generates all atoms from Ta at (0.000, 0.000, 0.000), Be at (0.250, 0.250, 0.750), Bi at (0.000, 0.000, 0.500) and Mo at (0.250, 0.250, 0.250).


No. 13
This record from OQMD via LeMat-Bulk describes an optimized crystal structure of NaBeNiBi. The functional is PBE-GGA.

For the relative energy among the computed polymorphs, the calculation gives 0 meV per atom.

The structure belongs to space group F-43m (No. 216); the cell edges are 6.483, 6.483 and 6.483 Å and the angles 90.00°, 90.00° and 90.00°. Symmetry generates all atoms from Na at (0.000, 0.000, 0.000), Be at (0.250, 0.250, 0.250), Ni at (0.000, 0.000, 0.500) and Bi at (0.250, 0.250, 0.750).


No. 14
This record from OQMD via LeMat-Bulk describes an optimized crystal structure of NaBeNiBi. The functional is PBE-GGA.

For the relative energy among the computed polymorphs, the calculation gives 38 meV per atom.

The structure belongs to space group F-43m (No. 216); the cell edges are 6.524, 6.524 and 6.524 Å and the angles 90.00°, 90.00° and 90.00°. Symmetry generates all atoms from Na at (0.000, 0.000, 0.000), Be at (0.250, 0.250, 0.250), Ni at (0.250, 0.250, 0.750) and Bi at (0.000, 0.000, 0.500).


No. 15
This record from OQMD via LeMat-Bulk describes an optimized crystal structure of Be2NbBi. The functional is PBE-GGA.

The value obtained for the final energy is -0.1626 hartree per atom.

The structure belongs to space group F-43m (No. 216); the cell edges are 6.507, 6.507 and 6.507 Å and the angles 90.00°, 90.00° and 90.00°. Symmetry generates all atoms from Be at (0.000, 0.000, 0.000), Be at (0.250, 0.250, 0.250), Nb at (0.250, 0.250, 0.750) and Bi at (0.000, 0.000, 0.500).


| no. | volume (Å³ per atom) |
| --- | --- |
| 1 | 18.107 |
| 2 | 18.660 |
| 3 | 18.874 |
| 4 | 17.045 |
| 5 | 17.311 |
| 6 | 16.661 |
| 7 | 15.407 |
| 8 | 15.826 |
| 9 | 19.534 |
| 10 | 20.486 |
| 11 | 17.180 |
| 12 | 17.270 |
| 13 | 17.031 |
| 14 | 17.355 |
| 15 | 17.217 |